Here is crystalline Lu3PN2 at its relaxed geometry from OQMD via LeMat-Bulk. Energies are from PBE.

Properties
The value obtained for the total magnetic moment is 0.0 μB/f.u. The distance to the lowest polymorph of the same formula is 0.527 kcal/mol of atoms. Its crystal system is hexagonal. Its volume is 187 Å³ per cell.

abc: 3.4642 3.4642 17.9851
angles: 90.00 90.00 120.00
Space group P6_3/mmc (No. 194)
Symmetry-distinct sites (fractional):
Lu (0.0000, 0.0000, 0.0000)
Lu (0.3333, 0.6667, 0.1472)
P (0.0000, 0.0000, 0.2500)
N (0.3333, 0.6667, 0.5760)